Entry from the Alexandria database: a geometry-optimized TiV3Cu2P6O24 structure (PBE+U).

Calculated values
N(E_F) ... 14.642 states/eV/f.u.
VASP energy ... -7.345 eV per atom

Cell: 8.594 8.594 8.594 Å, 60.08 60.08 60.08°
Sites, in units of the cell vectors:
Ti 0.000 0.000 0.000
V 0.284 0.284 0.284
V 0.500 0.500 0.500
V 0.784 0.784 0.784
Cu 0.141 0.141 0.141
Cu 0.642 0.642 0.642
P 0.102 0.681 0.394
P 0.182 0.600 0.892
P 0.394 0.102 0.681
P 0.600 0.892 0.182
P 0.681 0.394 0.102
P 0.892 0.182 0.600
O 0.021 0.637 0.836
O 0.059 0.201 0.408
O 0.084 0.874 0.227
O 0.139 0.520 0.336
O 0.140 0.765 0.950
O 0.201 0.408 0.059
O 0.227 0.084 0.874
O 0.263 0.645 0.452
O 0.336 0.139 0.520
O 0.375 0.585 0.726
O 0.408 0.059 0.201
O 0.452 0.263 0.645
O 0.520 0.336 0.139
O 0.560 0.909 0.699
O 0.585 0.726 0.375
O 0.637 0.836 0.021
O 0.645 0.452 0.263
O 0.699 0.560 0.909
O 0.726 0.375 0.585
O 0.765 0.950 0.140
O 0.836 0.021 0.637
O 0.874 0.227 0.084
O 0.909 0.699 0.560
O 0.950 0.140 0.765